1.
Material: CsErTeO
Method: DFT, PBE
State: relaxed

Properties
- Energy above the most stable polymorph in this dataset: 0.66 eV per formula unit

Cell: 7.1638 4.8062 9.0361 Å, 90.00 90.00 90.00°
Sites, in units of the cell vectors:
1 Cs 0.1089 0.0000 0.2087
2 Cs 0.6089 0.0000 0.7913
3 Er 0.5312 0.5000 0.3998
4 Er 0.0312 0.5000 0.6002
5 O 0.2404 0.5000 0.4393
6 O 0.7404 0.5000 0.5607
7 Te 0.6105 0.0000 0.2134
8 Te 0.1105 0.0000 0.7866

2.
Material: CsErTeO
Method: DFT, PBE
State: relaxed

Properties
- Energy above the most stable polymorph in this dataset: 1.90 eV per formula unit

Cell: 4.4821 4.4821 10.7696 Å, 90.00 90.00 90.00°
Sites, in units of the cell vectors:
1 Cs 0.7500 0.2500 0.5000
2 Cs 0.2500 0.7500 0.5000
3 Er 0.7500 0.7500 0.0634
4 Er 0.2500 0.2500 0.9366
5 O 0.7500 0.2500 0.0000
6 O 0.2500 0.7500 0.0000
7 Te 0.2500 0.2500 0.2428
8 Te 0.7500 0.7500 0.7572

3.
Material: CsErZnO3
Method: DFT, PBE
State: relaxed

Cell: 3.5304 6.8962 8.9984 Å, 90.00 90.00 75.17°
Sites, in units of the cell vectors:
1 Cs 0.2782 0.4437 0.2500
2 Cs 0.7218 0.5563 0.7500
3 Er 0.0000 0.0000 0.0000
4 Er 0.0000 0.0000 0.5000
5 O 0.6037 0.7925 0.0493
6 O 0.9697 0.0606 0.2500
7 O 0.6037 0.7925 0.4507
8 O 0.3963 0.2075 0.5493
9 O 0.0303 0.9394 0.7500
10 O 0.3963 0.2075 0.9507
11 Zn 0.5554 0.8892 0.2500
12 Zn 0.4446 0.1108 0.7500

4.
Material: CsRbEr2P2
Method: DFT, PBE
State: relaxed

Cell: 4.9418 4.9418 8.2821 Å, 90.00 90.00 90.00°
Sites, in units of the cell vectors:
1 Cs 0.0000 0.0000 0.3735
2 Er 0.5000 0.0000 0.9960
3 Er 0.0000 0.5000 0.9960
4 P 0.5000 0.5000 0.1557
5 P 0.0000 0.0000 0.8478
6 Rb 0.5000 0.5000 0.6309

5.
Material: CsErP2Se7
Method: DFT, PBE
State: relaxed

Cell: 7.1438 7.1438 7.2247 Å, 96.38 96.38 96.96°
Sites, in units of the cell vectors:
1 Cs 0.1011 0.8989 0.0000
2 Er 0.5047 0.4953 0.5000
3 P 0.6633 0.9480 0.4075
4 P 0.0520 0.3367 0.5925
5 Se 0.6445 0.6864 0.2077
6 Se 0.5676 0.1740 0.2498
7 Se 0.1164 0.4680 0.3410
8 Se 0.9910 0.0090 0.5000
9 Se 0.5320 0.8836 0.6590
10 Se 0.8260 0.4324 0.7502
11 Se 0.3136 0.3555 0.7923

6.
Material: CsErPbS3
Method: DFT, PBE
State: relaxed

Cell: 9.1508 9.1508 11.5937 Å, 90.00 90.00 154.68°
Sites, in units of the cell vectors:
1 Cs 0.1772 0.8228 0.2500
2 Cs 0.8228 0.1772 0.7500
3 Er 0.5000 0.5000 0.0000
4 Er 0.5000 0.5000 0.5000
5 Pb 0.8948 0.1052 0.2500
6 Pb 0.1052 0.8948 0.7500
7 S 0.8988 0.1013 0.0046
8 S 0.4987 0.5013 0.2500
9 S 0.8988 0.1013 0.4954
10 S 0.1013 0.8988 0.5046
11 S 0.5013 0.4987 0.7500
12 S 0.1013 0.8988 0.9954

VASP energy / eV per atom: -5.3500 -5.0412 -5.8479 -4.3093 -4.4017 -4.8661
Spin magnetization / Bohr magnetons per cell: 0.0 0.0 0.0 0.0 0.0 0.0